[1]
A geometry-optimized PuBeCoO5 structure. Source: the Alexandria database, functional PBE with a Hubbard U.

## Properties
For the total energy, the calculation gives -8.065 eV per atom.

Cell: 5.3090 5.3090 7.6575 Å, 104.35 104.35 105.61°
Last column: nearest neighbours and their distance in Å.
Atoms (fractional coordinates):
1 Pu 0.0000 0.5000 0.0000  6 O 2.02-2.18
2 Pu 0.5000 0.0000 0.5000  6 O 2.02-2.18
3 Be 0.0615 0.9385 0.7500  4 O 1.64-1.65
4 Be 0.9385 0.0615 0.2500  4 O 1.64-1.65
5 Co 0.3931 0.6069 0.7500  5 O 2.01-2.17
6 Co 0.6069 0.3931 0.2500  5 O 2.01-2.17
7 O 0.1674 0.2807 0.8369  1 Be 1.65
8 O 0.1883 0.8109 0.9118  1 Be 1.64
9 O 0.1891 0.8117 0.5882  1 Be 1.64
10 O 0.2807 0.1674 0.3369  1 Be 1.65
11 O 0.3689 0.6311 0.2500  1 Co 2.01, 2 Pu 2.18
12 O 0.6311 0.3689 0.7500  1 Co 2.01, 2 Pu 2.18
13 O 0.7193 0.8326 0.6631  1 Be 1.65
14 O 0.8109 0.1883 0.4118  1 Be 1.64
15 O 0.8117 0.1891 0.0882  1 Be 1.64
16 O 0.8326 0.7193 0.1631  1 Be 1.65

=====

[2]
A geometry-optimized PuBeCoO6 structure. Source: the Alexandria database, functional PBE with a Hubbard U.

## Properties
For the total energy, the calculation gives -7.593 eV per atom.

Cell: 4.9612 4.9612 4.4696 Å, 90.00 90.00 120.00°
Last column: nearest neighbours and their distance in Å.
Atoms (fractional coordinates):
1 Pu 0.0000 0.0000 0.0000  6 O 1.99
2 Be 0.3333 0.6667 0.0000  6 O 1.87
3 Co 0.6667 0.3333 0.5000  6 O 2.09
4 O 0.0216 0.3513 0.2325  1 Be 1.87, 1 Pu 1.99, 1 Co 2.09
5 O 0.0216 0.6703 0.7675  1 Be 1.87, 1 Pu 1.99, 1 Co 2.09
6 O 0.3297 0.3513 0.7675  1 Be 1.87, 1 Pu 1.99, 1 Co 2.09
7 O 0.3297 0.9784 0.2325  1 Be 1.87, 1 Pu 1.99, 1 Co 2.09
8 O 0.6487 0.6703 0.2325  1 Be 1.87, 1 Pu 1.99, 1 Co 2.09
9 O 0.6487 0.9784 0.7675  1 Be 1.87, 1 Pu 1.99, 1 Co 2.09

=====

[3]
A geometry-optimized Rb2BeCoO4 structure. Source: the Alexandria database, functional PBE with a Hubbard U.

## Properties
For the total energy, the calculation gives -5.326 eV per atom.

Cell: 11.6623 10.3000 6.3992 Å, 85.20 61.65 33.15°
Last column: nearest neighbours and their distance in Å.
Atoms (fractional coordinates):
1 Rb 0.0493 0.0493 0.7007  8 O 3.05-3.23
2 Rb 0.2993 0.2993 0.9507  8 O 3.05-3.23
3 Rb 0.7007 0.7007 0.0493  8 O 3.05-3.23
4 Rb 0.9507 0.9507 0.2993  8 O 3.05-3.23
5 Be 0.1250 0.1250 0.1250  4 O 1.66
6 Be 0.8750 0.8750 0.8750  4 O 1.66
7 Co 0.3750 0.3750 0.3750  4 O 1.79
8 Co 0.6250 0.6250 0.6250  4 O 1.79
9 O 0.0167 0.3117 0.3992  1 Be 1.66, 1 Co 1.79
10 O 0.2276 0.6008 0.6883  1 Be 1.66, 1 Co 1.79
11 O 0.3117 0.0167 0.7724  1 Be 1.66, 1 Co 1.79
12 O 0.3992 0.7724 0.0167  1 Be 1.66, 1 Co 1.79
13 O 0.6008 0.2276 0.9833  1 Be 1.66, 1 Co 1.79
14 O 0.6883 0.9833 0.2276  1 Be 1.66, 1 Co 1.79
15 O 0.7724 0.3992 0.3117  1 Be 1.66, 1 Co 1.79
16 O 0.9833 0.6883 0.6008  1 Be 1.66, 1 Co 1.79